No. 1
## SrH6Au2 (PBE)

Data for an optimized crystal structure of SrH6Au2.

Geometry as POSCAR:
```
SrH6Au2
1.0
6.267 -3.084 0.000
6.267 3.084 0.000
-4.091 0.000 5.884
Sr H Au
2 12 4
Direct
0.250 0.750 0.750
0.750 0.250 0.250
0.050 0.126 0.057
0.126 0.050 0.557
0.206 0.294 0.476
0.294 0.206 0.976
0.372 0.452 0.380
0.452 0.372 0.880
0.548 0.628 0.120
0.628 0.548 0.620
0.706 0.794 0.024
0.794 0.706 0.524
0.874 0.950 0.443
0.950 0.874 0.943
0.221 0.280 0.221
0.280 0.221 0.721
0.720 0.779 0.279
0.779 0.720 0.779
```

Size of the total moment ... 0.00 μB per formula unit
E ... -3.308 eV/atom
SG ... No. 15


No. 2
## SrH4Au (PBE)

Data for an optimized crystal structure of SrH4Au.

Geometry as POSCAR:
```
SrH4Au
1.0
6.331 0.000 0.000
0.000 6.331 0.000
0.000 0.000 4.010
Sr H Au
2 8 2
Direct
0.000 0.000 0.000
0.500 0.500 0.500
0.126 0.724 0.626
0.224 0.374 0.874
0.276 0.126 0.374
0.374 0.776 0.126
0.626 0.224 0.126
0.724 0.874 0.374
0.776 0.626 0.874
0.874 0.276 0.626
0.000 0.500 0.750
0.500 0.000 0.250
```

Size of the total moment ... 0.00 μB per formula unit
E ... -3.209 eV/atom
SG ... No. 82


No. 3
## SrH2Au2 (PBE)

Data for an optimized crystal structure of SrH2Au2.

Geometry as POSCAR:
```
SrH2Au2
1.0
4.088 0.000 0.000
0.000 4.088 0.000
0.000 0.000 9.251
Sr H Au
2 4 4
Direct
0.000 0.000 0.000
0.500 0.500 0.500
0.000 0.500 0.250
0.000 0.500 0.750
0.500 0.000 0.250
0.500 0.000 0.750
0.000 0.000 0.345
0.000 0.000 0.655
0.500 0.500 0.155
0.500 0.500 0.845
```

Size of the total moment ... 0.00 μB per formula unit
Energy relative to the lowest polymorph listed for this composition ... 85 meV/atom
SG ... No. 139


No. 4
## Sr2H2Au (PBE)

Data for an optimized crystal structure of Sr2H2Au.

Geometry as POSCAR:
```
Sr2H2Au
1.0
3.987 0.000 0.000
0.000 3.987 0.000
0.000 0.000 13.356
Sr H Au
4 4 2
Direct
0.000 0.000 0.144
0.000 0.000 0.856
0.500 0.500 0.356
0.500 0.500 0.644
0.000 0.500 0.250
0.000 0.500 0.750
0.500 0.000 0.250
0.500 0.000 0.750
0.000 0.000 0.500
0.500 0.500 0.000
```

Size of the total moment ... 0.00 μB per formula unit
E ... -3.260 eV/atom
SG ... No. 139


No. 5
## SrTlHAu2 (PBE)

Data for an optimized crystal structure of SrTlHAu2.

Geometry as POSCAR:
```
SrTlHAu2
1.0
4.786 0.000 0.000
0.000 4.786 0.000
0.000 0.000 4.552
Sr Tl H Au
1 1 1 2
Direct
0.000 0.000 0.000
0.500 0.500 0.000
0.000 0.000 0.500
0.000 0.500 0.500
0.500 0.000 0.500
```

Size of the total moment ... 0.00 μB per formula unit
E ... -2.914 eV/atom
SG ... No. 123


No. 6
## SrTlH6Au2 (PBE)

Data for an optimized crystal structure of SrTlH6Au2.

Geometry as POSCAR:
```
SrTlH6Au2
1.0
4.571 -5.115 0.000
4.571 5.115 0.000
-1.527 0.000 6.248
Sr Tl H Au
2 2 12 4
Direct
0.149 0.851 0.750
0.851 0.149 0.250
0.394 0.606 0.250
0.606 0.394 0.750
0.097 0.651 0.351
0.132 0.167 0.028
0.167 0.132 0.528
0.204 0.549 0.888
0.349 0.903 0.149
0.451 0.796 0.612
0.549 0.204 0.388
0.651 0.097 0.851
0.796 0.451 0.112
0.833 0.868 0.472
0.868 0.833 0.972
0.903 0.349 0.649
0.163 0.340 0.704
0.340 0.163 0.204
0.660 0.837 0.796
0.837 0.660 0.296
```

Size of the total moment ... 0.00 μB per formula unit
E ... -3.134 eV/atom
SG ... No. 15